A crystal of K3LaAu relaxed with PBEsol, computed with SCAN.

Output
magnetization	0.654	μB per atom
ΔH_f (0 K)	0.96	eV/atom
final energy	-26.49	eV per atom

Geometry as POSCAR:
```
K3LaAu
1.0
6.858 0.000 0.000
0.000 6.858 0.000
0.000 0.000 6.858
K La Au
3 1 1
Direct
0.000 0.000 0.500
0.000 0.500 0.000
0.500 0.000 0.000
0.000 0.000 0.000
0.500 0.500 0.500
```